# PBE Zr2NbH2, relaxed
# energy above the most stable polymorph in this dataset = 0.0000 eV/atom
data_Zr2NbH2
_symmetry_space_group_name_H-M 'I 4/m m m'
_symmetry_Int_Tables_number 139
_symmetry_space_group_name_Hall '-I 4 2'
_cell_length_a 3.432
_cell_length_b 3.432
_cell_length_c 11.807
_cell_angle_alpha 90.00
_cell_angle_beta 90.00
_cell_angle_gamma 90.00
loop_
_atom_site_label
_atom_site_fract_x
_atom_site_fract_y
_atom_site_fract_z
_atom_site_occupancy
Zr1 0.000 0.000 0.146 1
Nb1 0.000 0.000 0.500 1
H1 0.000 0.500 0.250 1

=====

# PBE NiIrPt, relaxed
# energy of formation from the pure elements = 0.313 eV per formula unit
# energy above the most stable polymorph in this dataset = 0.1403 eV/atom
data_NiIrPt
_symmetry_space_group_name_H-M 'C m c m'
_symmetry_Int_Tables_number 63
_symmetry_space_group_name_Hall '-C 2c 2'
_cell_length_a 2.737
_cell_length_b 13.694
_cell_length_c 4.462
_cell_angle_alpha 90.00
_cell_angle_beta 90.00
_cell_angle_gamma 90.00
loop_
_atom_site_label
_atom_site_fract_x
_atom_site_fract_y
_atom_site_fract_z
_atom_site_occupancy
Ni1 0.000 0.226 0.250 1
Ir1 0.000 0.119 0.750 1
Pt1 0.000 0.437 0.750 1

=====

# PBE LaTcSe2, relaxed
# energy above the most stable polymorph in this dataset = 0.3514 eV/atom
data_LaTcSe2
_symmetry_space_group_name_H-M 'P 4 m m'
_symmetry_Int_Tables_number 99
_cell_length_a 4.052
_cell_length_b 4.052
_cell_length_c 5.907
_cell_angle_alpha 90.00
_cell_angle_beta 90.00
_cell_angle_gamma 90.00
loop_
_symmetry_equiv_pos_as_xyz
'x,y,z'
'-y,x,z'
'-x,-y,z'
'y,-x,z'
'-x,y,z'
'y,x,z'
'x,-y,z'
'-y,-x,z'
loop_
_atom_site_label
_atom_site_fract_x
_atom_site_fract_y
_atom_site_fract_z
_atom_site_occupancy
La1 0.000 0.000 0.000 1
Tc1 0.500 0.500 0.609 1
Se1 0.000 0.000 0.520 1
Se2 0.500 0.500 0.082 1

=====

# PBE LiUTe4, relaxed
# electronic total energy = -4.74 eV/atom
data_LiUTe4
_symmetry_space_group_name_H-M 'P 1 21/m 1'
_symmetry_Int_Tables_number 11
_cell_length_a 5.874
_cell_length_b 9.869
_cell_length_c 7.795
_cell_angle_alpha 90.00
_cell_angle_beta 103.14
_cell_angle_gamma 90.00
loop_
_symmetry_equiv_pos_as_xyz
'x,y,z'
'-x,-y,-z'
'-x,y+1/2,-z'
'x,-y+1/2,z'
loop_
_atom_site_label
_atom_site_fract_x
_atom_site_fract_y
_atom_site_fract_z
_atom_site_occupancy
Li1 0.169 0.250 0.034 1
U1 0.467 0.750 0.352 1
Te1 0.038 0.250 0.657 1
Te2 0.324 0.750 0.964 1
Te3 0.494 0.562 0.672 1

=====

# PBE Tb4SmY7, relaxed
# energy of formation from the pure elements = 3.397 eV per formula unit
# energy above the most stable polymorph in this dataset = 0.1980 eV/atom
data_Tb4SmY7
_symmetry_space_group_name_H-M 'C 1 2/m 1'
_symmetry_Int_Tables_number 12
_cell_length_a 12.109
_cell_length_b 5.884
_cell_length_c 12.737
_cell_angle_alpha 90.00
_cell_angle_beta 117.62
_cell_angle_gamma 90.00
loop_
_symmetry_equiv_pos_as_xyz
'x,y,z'
'-x,-y,-z'
'-x,y,-z'
'x,-y,z'
'x+1/2,y+1/2,z'
'-x+1/2,-y+1/2,-z'
'-x+1/2,y+1/2,-z'
'x+1/2,-y+1/2,z'
loop_
_atom_site_label
_atom_site_fract_x
_atom_site_fract_y
_atom_site_fract_z
_atom_site_occupancy
Tb1 0.137 0.000 0.275 1
Tb2 0.242 0.500 0.179 1
Sm1 0.000 0.500 0.500 1
Y1 0.000 0.000 0.500 1
Y2 0.062 0.500 0.823 1
Y3 0.134 0.000 0.001 1
Y4 0.211 0.500 0.423 1

=====

# PBE BaAcHoO4, relaxed
# electronic total energy = -7.44 eV/atom
data_BaAcHoO4
_symmetry_space_group_name_H-M 'C m c m'
_symmetry_Int_Tables_number 63
_symmetry_space_group_name_Hall '-C 2c 2'
_cell_length_a 6.153
_cell_length_b 13.242
_cell_length_c 6.219
_cell_angle_alpha 90.00
_cell_angle_beta 90.00
_cell_angle_gamma 90.00
loop_
_atom_site_label
_atom_site_fract_x
_atom_site_fract_y
_atom_site_fract_z
_atom_site_occupancy
Ba1 0.000 0.103 0.250 1
Ac1 0.000 0.388 0.250 1
Ho1 0.000 0.251 0.750 1
O1 0.000 0.085 0.750 1
O2 0.000 0.435 0.750 1
O3 0.250 0.250 0.000 1

=====

# PBE Ca3SnBi2, relaxed
# energy of formation from the pure elements = -3.622 eV per formula unit
data_Ca3SnBi2
_symmetry_space_group_name_H-M 'P n m a'
_symmetry_Int_Tables_number 62
_cell_length_a 13.283
_cell_length_b 4.679
_cell_length_c 12.874
_cell_angle_alpha 90.00
_cell_angle_beta 90.00
_cell_angle_gamma 90.00
loop_
_symmetry_equiv_pos_as_xyz
'x,y,z'
'-x,-y,-z'
'-x+1/2,-y,z+1/2'
'x+1/2,y,-z+1/2'
'x+1/2,-y+1/2,-z+1/2'
'-x+1/2,y+1/2,z+1/2'
'-x,y+1/2,-z'
'x,-y+1/2,z'
loop_
_atom_site_label
_atom_site_fract_x
_atom_site_fract_y
_atom_site_fract_z
_atom_site_occupancy
Ca1 0.048 0.250 0.112 1
Ca2 0.123 0.750 0.549 1
Ca3 0.245 0.750 0.267 1
Sn1 0.112 0.250 0.367 1
Bi1 0.023 0.250 0.717 1
Bi2 0.186 0.750 0.002 1

=====

# PBE TeOsSe3, relaxed
# energy above the most stable polymorph in this dataset = 0.0000 eV/atom
data_TeOsSe3
_symmetry_space_group_name_H-M 'P m -3 m'
_symmetry_Int_Tables_number 221
_symmetry_space_group_name_Hall '-P 4 2 3'
_cell_length_a 4.895
_cell_length_b 4.895
_cell_length_c 4.895
_cell_angle_alpha 90.00
_cell_angle_beta 90.00
_cell_angle_gamma 90.00
loop_
_atom_site_label
_atom_site_fract_x
_atom_site_fract_y
_atom_site_fract_z
_atom_site_occupancy
Te1 0.000 0.000 0.000 1
Os1 0.500 0.500 0.500 1
Se1 0.000 0.500 0.500 1